Computed, not measured: an optimized crystal structure of Cd2ReSb at the GGA-PBE level of DFT.

Cell lengths 3.001, 3.001, 11.126 Å; angles 90.00, 90.00, 116.29 degrees
Element x y z (fractional)
Cd 0.000 0.000 0.000
Cd 0.500 0.500 0.253
Re 0.500 0.500 0.784
Sb 0.000 0.000 0.589

Summary:
Formation energy without anion corrections ... 0.50 eV/atom
Raw total energy ... -4.10 eV/atom

***

Computed, not measured: an optimized crystal structure of BaZn3Co at the GGA-PBE level of DFT.

Cell lengths 4.779, 4.779, 4.779 Å; angles 90.00, 90.00, 90.00 degrees
Element x y z (fractional)
Ba 0.000 0.000 0.000
Zn 0.000 0.500 0.500
Zn 0.500 0.000 0.500
Zn 0.500 0.500 0.000
Co 0.500 0.500 0.500

Summary:
Offset from the most stable computed form ... 0.0000 eV/atom
Raw total energy ... -2.68 eV/atom
DFT formation energy ... -109 meV/atom

***

Computed, not measured: an optimized crystal structure of Hg2IrCl at the GGA-PBE level of DFT.

Cell lengths 7.338, 7.338, 7.338 Å; angles 157.00, 146.00, 41.45 degrees
Element x y z (fractional)
Hg 0.183 0.183 0.000
Hg 0.817 0.817 0.000
Ir 0.000 0.500 0.500
Cl 0.500 0.000 0.500

Summary:
Offset from the most stable computed form ... 0.2658 eV/atom
Formation energy without anion corrections ... 0.41 eV/atom
Raw total energy ... -2.42 eV/atom

***

Computed, not measured: an optimized crystal structure of K2CoSi at the GGA-PBE level of DFT.

Cell lengths 2.891, 3.703, 10.019 Å; angles 90.00, 90.00, 90.00 degrees
Element x y z (fractional)
K 0.000 0.000 0.000
K 0.500 0.500 0.410
Co 0.000 0.000 0.700
Si 0.500 0.500 0.721

Summary:
Formation energy without anion corrections ... 0.29 eV/atom
Raw total energy ... -3.40 eV/atom

***

Computed, not measured: an optimized crystal structure of AlPSeBr2 at the GGA-PBE level of DFT.

Cell lengths 5.266, 5.266, 4.827 Å; angles 90.00, 90.00, 90.00 degrees
Element x y z (fractional)
Al 0.000 0.000 0.000
P 0.500 0.500 0.500
Se 0.500 0.500 0.000
Br 0.000 0.500 0.500
Br 0.500 0.000 0.500

Summary:
Offset from the most stable computed form ... 0.0000 eV/atom
Formation energy without anion corrections ... 0.17 eV/atom
Raw total energy ... -3.03 eV/atom

***

Computed, not measured: an optimized crystal structure of Mn3SnBr9 at the GGA-PBE level of DFT.

Cell lengths 10.630, 10.630, 13.647 Å; angles 123.64, 123.64, 53.92 degrees
Element x y z (fractional)
Mn 0.062 0.938 0.500
Mn 0.286 0.524 0.609
Mn 0.524 0.286 0.109
Mn 0.555 0.707 0.453
Mn 0.707 0.555 0.953
Mn 0.938 0.062 0.000
Sn 0.045 0.494 0.785
Sn 0.494 0.045 0.285
Br 0.027 0.737 0.514
Br 0.052 0.795 0.844
Br 0.105 0.151 0.708
Br 0.151 0.105 0.208
Br 0.186 0.359 0.601
Br 0.253 0.777 0.376
Br 0.359 0.186 0.101
Br 0.363 0.452 0.972
Br 0.444 0.690 0.801
Br 0.452 0.363 0.472
Br 0.573 0.946 0.480
Br 0.638 0.698 0.144
Br 0.690 0.444 0.301
Br 0.698 0.638 0.644
Br 0.737 0.027 0.014
Br 0.777 0.253 0.876
Br 0.795 0.052 0.344
Br 0.946 0.573 0.980

Summary:
Formation energy without anion corrections ... -0.69 eV/atom
Raw total energy ... -4.27 eV/atom

***

Computed, not measured: an optimized crystal structure of NaZnAsH2 at the GGA-PBE level of DFT.

Cell lengths 3.964, 3.964, 5.081 Å; angles 90.00, 90.00, 90.00 degrees
Element x y z (fractional)
Na 0.000 0.000 0.000
Zn 0.500 0.500 0.000
As 0.500 0.500 0.500
H 0.000 0.500 0.500
H 0.500 0.000 0.500

Summary:
Raw total energy ... -2.45 eV/atom

***

Computed, not measured: an optimized crystal structure of CeDy14Ho at the GGA-PBE level of DFT.

Cell lengths 7.081, 7.081, 10.012 Å; angles 90.00, 90.00, 90.00 degrees
Element x y z (fractional)
Ce 0.000 0.000 0.000
Dy 0.000 0.000 0.500
Dy 0.000 0.500 0.000
Dy 0.000 0.500 0.500
Dy 0.249 0.249 0.250
Dy 0.249 0.249 0.750
Dy 0.249 0.751 0.250
Dy 0.249 0.751 0.750
Dy 0.500 0.000 0.000
Dy 0.500 0.000 0.500
Dy 0.500 0.500 0.500
Dy 0.751 0.249 0.250
Dy 0.751 0.249 0.750
Dy 0.751 0.751 0.250
Dy 0.751 0.751 0.750
Ho 0.500 0.500 0.000

Summary:
Raw total energy ... -4.66 eV/atom
DFT formation energy ... 27 meV/atom

***

Computed, not measured: an optimized crystal structure of GaCu4Bi at the GGA-PBE level of DFT.

Cell lengths 5.117, 5.117, 5.117 Å; angles 60.00, 60.00, 60.00 degrees
Element x y z (fractional)
Ga 0.000 0.000 0.000
Cu 0.123 0.626 0.626
Cu 0.626 0.123 0.626
Cu 0.626 0.626 0.123
Cu 0.626 0.626 0.626
Bi 0.250 0.250 0.250

Summary:
Raw total energy ... -3.77 eV/atom
DFT formation energy ... 109 meV/atom

***

Computed, not measured: an optimized crystal structure of V3TeC at the GGA-PBE level of DFT.

Cell lengths 4.068, 4.068, 4.068 Å; angles 90.00, 90.00, 90.00 degrees
Element x y z (fractional)
V 0.000 0.000 0.500
V 0.000 0.500 0.000
V 0.500 0.000 0.000
Te 0.500 0.500 0.500
C 0.000 0.000 0.000

Summary:
Offset from the most stable computed form ... 0.0000 eV/atom
Formation energy without anion corrections ... -0.07 eV/atom
Raw total energy ... -8.02 eV/atom

***

Computed, not measured: an optimized crystal structure of HOsPb2 at the GGA-PBE level of DFT.

Cell lengths 7.261, 7.261, 7.261 Å; angles 135.32, 135.32, 65.04 degrees
Element x y z (fractional)
H 0.000 0.000 0.000
H 0.750 0.250 0.500
Os 0.250 0.750 0.500
Os 0.500 0.500 0.000
Pb 0.073 0.625 0.948
Pb 0.375 0.323 0.448
Pb 0.677 0.125 0.052
Pb 0.875 0.927 0.552

Summary:
Offset from the most stable computed form ... 0.1151 eV/atom
Raw total energy ... -4.37 eV/atom

***

Computed, not measured: an optimized crystal structure of Nd2Mg3Cd3 at the GGA-PBE level of DFT.

Cell lengths 9.013, 9.013, 9.013 Å; angles 33.50, 33.50, 33.50 degrees
Element x y z (fractional)
Nd 0.000 0.000 0.000
Nd 0.496 0.496 0.496
Mg 0.247 0.247 0.247
Mg 0.622 0.622 0.622
Mg 0.748 0.748 0.748
Cd 0.124 0.124 0.124
Cd 0.370 0.370 0.370
Cd 0.876 0.876 0.876

Summary:
Raw total energy ... -2.42 eV/atom
DFT formation energy ... -288 meV/atom

***

Computed, not measured: an optimized crystal structure of La3Ho2ErAs6 at the GGA-PBE level of DFT.

Cell lengths 7.341, 7.341, 7.328 Å; angles 99.61, 99.61, 119.99 degrees
Element x y z (fractional)
La 0.000 0.000 0.000
La 0.333 0.667 0.000
La 0.667 0.333 0.000
Ho 0.167 0.833 0.500
Ho 0.833 0.167 0.500
Er 0.500 0.500 0.500
As 0.089 0.422 0.265
As 0.246 0.246 0.735
As 0.422 0.089 0.265
As 0.578 0.911 0.735
As 0.754 0.754 0.265
As 0.911 0.578 0.735

Summary:
Raw total energy ... -6.24 eV/atom
DFT formation energy ... -1537 meV/atom

***

Computed, not measured: an optimized crystal structure of Ho2Al3Ga2 at the GGA-PBE level of DFT.

Cell lengths 9.904, 9.904, 3.465 Å; angles 90.00, 90.00, 155.16 degrees
Element x y z (fractional)
Ho 0.156 0.844 0.000
Ho 0.844 0.156 0.000
Al 0.000 0.000 0.000
Al 0.431 0.569 0.500
Al 0.569 0.431 0.500
Ga 0.289 0.711 0.500
Ga 0.711 0.289 0.500

Summary:
Offset from the most stable computed form ... 0.1256 eV/atom
Raw total energy ... -4.13 eV/atom
DFT formation energy ... -352 meV/atom

***

Computed, not measured: an optimized crystal structure of NaAl2CrGe at the GGA-PBE level of DFT.

Cell lengths 4.996, 4.996, 4.863 Å; angles 90.00, 90.00, 90.00 degrees
Element x y z (fractional)
Na 0.000 0.000 0.000
Al 0.000 0.500 0.000
Al 0.500 0.000 0.000
Cr 0.000 0.000 0.500
Ge 0.500 0.500 0.500

Summary:
Raw total energy ... -3.24 eV/atom
DFT formation energy ... 1368 meV/atom

***

Computed, not measured: an optimized crystal structure of BaYBr5 at the GGA-PBE level of DFT.

Cell lengths 8.009, 8.009, 11.040 Å; angles 110.34, 110.34, 70.59 degrees
Element x y z (fractional)
Ba 0.058 0.942 0.750
Ba 0.942 0.058 0.250
Y 0.500 0.500 0.000
Y 0.500 0.500 0.500
Br 0.184 0.786 0.029
Br 0.214 0.816 0.471
Br 0.248 0.288 0.379
Br 0.288 0.248 0.879
Br 0.422 0.578 0.750
Br 0.578 0.422 0.250
Br 0.712 0.752 0.121
Br 0.752 0.712 0.621
Br 0.786 0.184 0.529
Br 0.816 0.214 0.971

Summary:
Offset from the most stable computed form ... 0.0021 eV/atom
Formation energy without anion corrections ... -1.96 eV/atom
Raw total energy ... -4.36 eV/atom

***

Computed, not measured: an optimized crystal structure of Dy2YZr at the GGA-PBE level of DFT.

Cell lengths 4.013, 4.013, 7.259 Å; angles 90.00, 90.00, 90.00 degrees
Element x y z (fractional)
Dy 0.000 0.000 0.224
Dy 0.000 0.000 0.776
Y 0.500 0.500 0.500
Zr 0.500 0.500 0.000

Summary:
Offset from the most stable computed form ... 0.0881 eV/atom
Raw total energy ... -5.89 eV/atom
DFT formation energy ... 167 meV/atom

***

Computed, not measured: an optimized crystal structure of Sr2SbIr at the GGA-PBE level of DFT.

Cell lengths 5.540, 5.540, 3.626 Å; angles 90.00, 90.00, 102.85 degrees
Element x y z (fractional)
Sr 0.000 0.500 0.000
Sr 0.500 0.000 0.000
Sb 0.000 0.000 0.500
Ir 0.500 0.500 0.500

Summary:
Formation energy without anion corrections ... -0.25 eV/atom
Raw total energy ... -4.34 eV/atom

***

Computed, not measured: an optimized crystal structure of AcNdAlGa at the GGA-PBE level of DFT.

Cell lengths 4.310, 6.366, 6.366 Å; angles 42.36, 90.00, 90.00 degrees
Element x y z (fractional)
Ac 0.000 0.000 0.000
Nd 0.500 0.718 0.718
Al 0.000 0.286 0.286
Ga 0.500 0.415 0.415

Summary:
Offset from the most stable computed form ... 0.0000 eV/atom
Raw total energy ... -4.34 eV/atom
DFT formation energy ... -430 meV/atom

***

Computed, not measured: an optimized crystal structure of Ta5Pt3 at the GGA-PBE level of DFT.

Cell lengths 7.994, 7.994, 5.102 Å; angles 90.00, 90.00, 120.00 degrees
Element x y z (fractional)
Ta 0.000 0.245 0.250
Ta 0.000 0.755 0.750
Ta 0.245 0.000 0.250
Ta 0.245 0.245 0.750
Ta 0.333 0.667 0.000
Ta 0.333 0.667 0.500
Ta 0.667 0.333 0.000
Ta 0.667 0.333 0.500
Ta 0.755 0.000 0.750
Ta 0.755 0.755 0.250
Pt 0.000 0.394 0.750
Pt 0.000 0.606 0.250
Pt 0.394 0.000 0.750
Pt 0.394 0.394 0.250
Pt 0.606 0.000 0.250
Pt 0.606 0.606 0.750

Summary:
Offset from the most stable computed form ... 0.0846 eV/atom
Raw total energy ... -10.06 eV/atom
DFT formation energy ... -382 meV/atom

***

Computed, not measured: an optimized crystal structure of Ac2CuAg at the GGA-PBE level of DFT.

Cell lengths 3.876, 3.876, 7.801 Å; angles 90.00, 90.00, 90.00 degrees
Element x y z (fractional)
Ac 0.000 0.000 0.239
Ac 0.000 0.000 0.761
Cu 0.500 0.500 0.000
Ag 0.500 0.500 0.500

Summary:
Raw total energy ... -3.96 eV/atom
DFT formation energy ... -173 meV/atom

***

Computed, not measured: an optimized crystal structure of Hg2Br2Cl at the GGA-PBE level of DFT.

Cell lengths 7.921, 7.921, 4.214 Å; angles 90.00, 90.00, 90.00 degrees
Element x y z (fractional)
Hg 0.173 0.327 0.000
Hg 0.327 0.827 0.000
Hg 0.673 0.173 0.000
Hg 0.827 0.673 0.000
Br 0.151 0.651 0.500
Br 0.349 0.151 0.500
Br 0.651 0.849 0.500
Br 0.849 0.349 0.500
Cl 0.000 0.000 0.000
Cl 0.500 0.500 0.000

Summary:
Offset from the most stable computed form ... 0.1400 eV/atom
Formation energy without anion corrections ... -0.20 eV/atom
Raw total energy ... -1.36 eV/atom

***

Computed, not measured: an optimized crystal structure of TcWAu2 at the GGA-PBE level of DFT.

Cell lengths 3.874, 3.874, 4.359 Å; angles 90.00, 90.00, 90.00 degrees
Element x y z (fractional)
Tc 0.000 0.000 0.000
W 0.500 0.500 0.000
Au 0.000 0.500 0.500
Au 0.500 0.000 0.500

Summary:
Offset from the most stable computed form ... 0.1555 eV/atom
Raw total energy ... -7.06 eV/atom
DFT formation energy ... 411 meV/atom

***

Computed, not measured: an optimized crystal structure of CeGaNi at the GGA-PBE level of DFT.

Cell lengths 7.398, 4.481, 6.592 Å; angles 90.00, 90.00, 90.00 degrees
Element x y z (fractional)
Ce 0.030 0.250 0.172
Ce 0.470 0.750 0.672
Ce 0.530 0.250 0.328
Ce 0.970 0.750 0.828
Ga 0.176 0.250 0.601
Ga 0.324 0.750 0.101
Ga 0.676 0.250 0.899
Ga 0.824 0.750 0.399
Ni 0.166 0.750 0.423
Ni 0.334 0.250 0.923
Ni 0.666 0.750 0.077
Ni 0.834 0.250 0.577

Summary:
Raw total energy ... -5.48 eV/atom
DFT formation energy ... -568 meV/atom

***

Computed, not measured: an optimized crystal structure of Cs4Rb2CdHg at the GGA-PBE level of DFT.

Cell lengths 9.486, 5.185, 13.336 Å; angles 90.00, 100.74, 90.00 degrees
Element x y z (fractional)
Cs 0.220 0.000 0.179
Cs 0.272 0.500 0.819
Cs 0.728 0.500 0.181
Cs 0.780 0.000 0.821
Rb 0.000 0.000 0.500
Rb 0.500 0.500 0.500
Cd 0.500 0.000 0.000
Hg 0.000 0.500 0.000

Summary:
Raw total energy ... -0.85 eV/atom
DFT formation energy ... -26 meV/atom

***

D(E_F) values (in states/eV per cell) by entry order: 2.35 3.48 1.93 2.87 1.36 10.09 1.38 21.13 2.60 2.78 6.18 2.70 1.37 3.07 2.58 0.00 7.75 1.67 3.76 16.30 2.69 2.32 3.25 16.22 7.58.